# V2Zn3O11, optimized geometry, DFT PBE+U
# Electronic total energy, eV per atom: -5.716
# D(E_F), states/eV/f.u.: 11.38
# V, Å³ per atom: 14.0
data_V2Zn3O11
_chemical_formula_sum 'V2 Zn3 O11'
_space_group_name_H-M_alt 'P -3 m 1'
_space_group_IT_number 164
_space_group_name_Hall '-P 3 2"'
_cell_length_a 6.0351
_cell_length_b 6.0351
_cell_length_c 7.1039
_cell_angle_alpha 90.00
_cell_angle_beta 90.00
_cell_angle_gamma 120.00
loop_
_atom_site_label
_atom_site_fract_x
_atom_site_fract_y
_atom_site_fract_z
V1 0.0000 0.0000 0.2484
Zn1 0.0000 0.5000 0.0000
O1 0.0000 0.0000 0.5000
O2 0.1568 0.3136 0.8369
O3 0.3333 0.6667 0.1540
O4 0.3333 0.6667 0.3447